No. 1
Density functional theory data (PBE) for an optimized crystal structure of CaYRh2.

The structure belongs to space group P4/mmm (No. 123); the cell edges are 3.428, 3.428 and 6.904 Å and the angles 90.00°, 90.00° and 90.00°. Symmetry generates all atoms from Ca at (0.000, 0.000, 0.000), Y at (0.000, 0.000, 0.500) and Rh at (0.500, 0.500, 0.264).

The formation enthalpy at 0 K comes out at -60 kJ per mole of atoms.



No. 2
Density functional theory data (PBE) for an optimized crystal structure of GeOs.

The structure belongs to space group Amm2 (No. 38); the cell edges are 4.058, 8.551 and 5.670 Å and the angles 90.00°, 90.00° and 90.00°. Symmetry generates all atoms from Ge at (0.000, 0.000, 0.000), Ge at (0.500, 0.175, 0.381), Os at (0.000, 0.226, 0.668) and Os at (0.500, 0.000, 0.728).

The formation enthalpy at 0 K comes out at 30 kJ per mole of atoms.



No. 3
Density functional theory data (PBE) for an optimized crystal structure of TaOs3.

The structure belongs to space group Fm-3m (No. 225); the cell edges are 6.281, 6.281 and 6.281 Å and the angles 90.00°, 90.00° and 90.00°. Symmetry generates all atoms from Ta at (0.000, 0.000, 0.000), Os at (0.000, 0.000, 0.500) and Os at (0.250, 0.250, 0.250).

The formation enthalpy at 0 K comes out at 36 kJ per mole of atoms.



| no. | total magnetic moment (μB/f.u.) |
| --- | --- |
| 1 | 0.0 |
| 2 | 0.0 |
| 3 | 0.8 |